A plane-wave DFT calculation with GGA-PBE was carried out for an optimized crystal structure of ScBe5Pd6.

Structure (POSCAR):
```
ScBe5Pd6
1.0
-0.282 3.900 0.583
-6.282 -0.609 1.037
1.179 -2.733 5.536
Be Pd Sc
5 6 1
Cartesian
-2.943 1.393 2.716 Be
-3.141 -0.305 0.519 Be
-2.442 -0.835 4.441 Be
0.661 -0.498 3.708 Be
0.237 1.665 2.412 Be
-0.711 -0.953 6.117 Pd
-1.336 -0.431 2.270 Pd
-4.237 -0.712 2.749 Pd
-4.674 1.510 1.040 Pd
-1.148 1.269 4.408 Pd
-4.049 0.988 4.887 Pd
0.000 0.000 0.000 Sc
```

Computed properties:
The formation energy comes out at -0.572 eV/atom. As for the symmetry: P2/m. The value obtained for the spin magnetization is 0.0 μB per formula unit. As for the total energy: -5.25 eV per atom.

A plane-wave DFT calculation with GGA-PBE was carried out for an optimized crystal structure of Sc2BePd.

Structure (POSCAR):
```
Sc2BePd
1.0
5.113 8.714 -0.005
7.424 6.844 0.346
6.391 7.448 -2.398
Pd Sc Be
1 2 1
Cartesian
9.463 11.503 -1.029 Pd
1.737 2.112 -0.189 Sc
17.190 20.894 -1.869 Sc
0.000 0.000 0.000 Be
```

Computed properties:
The formation energy comes out at 0.338 eV/atom. As for the symmetry: R-3m. The value obtained for the spin magnetization is 0.0 μB per formula unit. As for the total energy: -5.06 eV per atom.

A plane-wave DFT calculation with GGA-PBE was carried out for an optimized crystal structure of Sc3Be2Pd5.

Structure (POSCAR):
```
Sc3Be2Pd5
1.0
3.484 0.000 0.000
0.000 9.434 0.000
0.000 0.000 9.434
Pd Be Sc
10 4 6
Cartesian
1.742 2.686 5.397 Pd
1.742 7.403 8.754 Pd
1.742 4.717 0.000 Pd
1.742 0.000 4.717 Pd
1.742 5.397 6.748 Pd
1.742 0.680 7.403 Pd
1.742 2.031 0.680 Pd
1.742 8.754 2.031 Pd
1.742 4.037 2.686 Pd
1.742 6.748 4.037 Pd
0.000 1.137 5.854 Be
0.000 5.854 8.297 Be
0.000 8.297 3.580 Be
0.000 3.580 1.137 Be
0.000 6.367 1.650 Sc
0.000 0.000 0.000 Sc
0.000 4.717 4.717 Sc
0.000 3.067 7.784 Sc
0.000 1.650 3.067 Sc
0.000 7.784 6.367 Sc
```

Computed properties:
The formation energy comes out at -0.790 eV/atom. As for the symmetry: P4/mbm. The value obtained for the spin magnetization is 0.0 μB per formula unit. As for the total energy: -6.03 eV per atom.